# 1
# KNb2O5

KNb2O5 after structural relaxation (GGA-PBE, Alexandria via LeMat-Bulk).

```
48
Lattice="-3.7273 -1.3069 0.9784 4.5368 -3.1813 11.8717 -3.0145 11.8339 4.3232" Properties=species:S:1:pos:R:3 pbc="T T T"
Nb -1.7340 -2.1222 5.9876
Nb -2.0161 4.2537 13.3792
Nb -0.9110 -1.4666 9.9915
Nb 3.7099 -0.2879 12.7637
Nb -5.0264 4.9724 4.1958
Nb -2.7172 3.0809 3.8308
Nb -0.1148 7.4122 9.0598
Nb -1.2643 4.6914 10.9360
Nb -5.1670 7.9264 6.9061
Nb -3.1943 1.5645 5.8799
Nb -2.2646 7.2750 15.9376
Nb -2.4625 2.2218 9.7079
K 0.6255 1.5224 11.8311
K -4.0147 8.3889 3.7384
K -1.2320 -0.4626 2.4811
K -1.6559 8.5162 12.2782
K -2.2404 5.4585 6.7521
K -0.1789 0.6453 7.4264
O -0.4699 7.7962 15.5762
O -2.8132 1.9720 7.8556
O -0.1606 -3.3253 10.4419
O 0.5986 -3.3253 13.2438
O -2.9406 5.2979 3.8035
O -2.5173 2.3622 1.7886
O -1.1962 2.9384 14.7255
O 0.8761 -0.7991 9.6243
O -0.5251 3.1300 9.5284
O -6.0037 9.0699 5.6510
O -4.1059 7.8287 10.8017
O 0.0318 -1.4875 5.6677
O -1.7031 0.4593 9.9664
O -1.3659 -1.8221 8.1888
O -0.6406 -0.9839 12.1100
O -0.1042 4.7591 12.6910
O -4.3916 6.4269 8.3004
O -3.9814 3.5268 5.4242
O -3.7131 1.2579 3.8710
O -2.4852 -0.2628 5.9826
O -5.2181 9.2143 8.5060
O -3.3467 8.4636 6.4912
O -2.1446 5.7148 14.6833
O -1.3815 2.4588 5.3337
O -1.9545 2.8841 11.7064
O -1.7087 6.5023 9.8180
O -4.6615 3.4665 2.7922
O -2.9953 4.2401 9.5918
O -2.9211 5.4630 11.9242
O -5.0584 6.3166 5.5893
```

Computed properties:
space group = Pc, No. 7
ΔE to the lowest computed polymorph = 0.0 meV per atom

---

# 2
# Bi2Se3Cl

Bi2Se3Cl after structural relaxation (GGA-PBE, Alexandria via LeMat-Bulk).

```
12
Lattice="-4.7020 -2.3177 4.8667 4.9334 -1.8886 5.5963 -4.6802 6.1079 0.1161" Properties=species:S:1:pos:R:3 pbc="T T T"
Bi 1.2015 -1.8989 7.2425
Bi 1.5124 0.9569 3.6462
Bi -5.6503 3.8004 3.3367
Bi -1.2592 3.2623 2.0663
Se -3.9949 1.6923 9.4773
Se -0.4540 0.2093 1.1018
Se -5.4885 1.0451 3.9207
Se 1.0397 0.8564 6.6585
Se -1.4000 -2.3557 6.2513
Se -3.0488 4.2572 4.3278
Cl -2.8679 1.1726 6.7422
Cl -1.5809 0.7289 3.8369
```

Computed properties:
space group = C2/m, No. 12

---

| no. | raw formation energy (eV/atom) |
| --- | --- |
| 1 | -2.399 |
| 2 | -0.425 |